The following is a DFT calculation (PBE) of crystalline Al7Ag4 at its relaxed geometry.

## Properties
* E above lowest polymorph: 0 meV per atom
* N(E_F): 4.0 states/eV per cell
* space group: C2/m (12)
* density: 5.56 Mg/m³
* E_form: -0.019 eV/atom
* crystal system: monoclinic

abc: 7.006 2.905 9.485
angles: 98.81 103.64 90.00
Sites, in units of the cell vectors:
Ag 0.987 0.996 0.992
Ag 0.086 0.641 0.282
Ag 0.277 0.905 0.809
Ag 0.377 0.550 0.099
Al 0.182 0.273 0.545
Al 0.451 0.182 0.363
Al 0.549 0.818 0.636
Al 0.634 0.454 0.909
Al 0.730 0.091 0.182
Al 0.814 0.727 0.455
Al 0.913 0.364 0.727

The following is a DFT calculation (PBE) of crystalline Al3Ag at its relaxed geometry.

## Properties
* N(E_F): 1.7 states/eV per cell
* space group: P-6m2 (187)
* density: 4.66 Mg/m³
* E_form: 0.026 eV/atom
* crystal system: hexagonal

abc: 2.894 2.894 9.275
angles: 90.00 90.00 120.00
Sites, in units of the cell vectors:
Al 0.000 0.000 0.500
Al 0.667 0.333 0.249
Al 0.667 0.333 0.751
Ag 0.000 0.000 0.000

The following is a DFT calculation (PBE) of crystalline Al2Ag5 at its relaxed geometry.

## Properties
* E above lowest polymorph: 28 meV per atom
* N(E_F): 4.1 states/eV per cell
* space group: Ibam (72)
* density: 8.00 Mg/m³
* E_form: -0.021 eV/atom
* crystal system: orthorhombic

abc: 5.896 6.649 7.698
angles: 115.58 112.52 90.00
Sites, in units of the cell vectors:
Al 0.380 0.654 0.760
Al 0.620 0.346 0.240
Al 0.880 0.106 0.760
Al 0.120 0.894 0.240
Ag 0.095 0.268 0.190
Ag 0.905 0.732 0.810
Ag 0.595 0.922 0.190
Ag 0.405 0.078 0.810
Ag 0.481 0.731 0.462
Ag 0.019 0.269 0.538
Ag 0.519 0.269 0.538
Ag 0.981 0.731 0.462
Ag 0.750 0.500 0.000
Ag 0.250 0.500 0.000